Density functional theory data (SCAN) for a PBEsol-optimized structure of LaFePt2.

## Properties
E_form = -0.7385 eV/atom
calculated density = 12.19 g cm⁻³
size of the total moment = 2.7 μB/f.u.
crystal system = trigonal

```
data_LaFePt2
_chemical_formula_sum 'La1 Fe1 Pt2'
_space_group_name_H-M_alt 'P 1'
_space_group_IT_number 1
_cell_length_a 5.547
_cell_length_b 5.547
_cell_length_c 5.547
_cell_angle_alpha 45.71
_cell_angle_beta 45.71
_cell_angle_gamma 45.71
loop_
_space_group_symop_operation_xyz
'x,y,z'
loop_
_atom_site_label
_atom_site_fract_x
_atom_site_fract_y
_atom_site_fract_z
_atom_site_occupancy
La1 0.000 0.000 0.000 1
Fe1 0.189 0.189 0.189 1
Pt1 0.528 0.528 0.528 1
Pt2 0.796 0.796 0.796 1
```